ScInNO2: optimized geometry, GGA-PBE.

a b c (Å): 4.061 4.061 4.138
angles (deg): 90.00 90.00 90.00
Sites, in units of the cell vectors:
Sc  0.500  0.500  0.500
N  0.000  0.000  0.500
O  0.000  0.500  0.000
O  0.500  0.000  0.000
In  0.000  0.000  0.000

E_form (uncorrected)   -551 meV per atom
DFT total energy   -30.07 eV/f.u.
Fermi-level density of states   1.982 states/eV/f.u.
Crystal system   tetragonal